Rb3YTe | PBE | optimized geometry

For the volume, the calculation gives 68.03 Å³ per atom. The value obtained for the total magnetization is 0.395 μB per atom. The calculation puts the energy relative to the elements, uncorrected at 0.1089 eV per atom.

It has space group Pm-3m (No. 221), with a = 6.981 Å, b = 6.981 Å, c = 6.981 Å, α = 90.00°, β = 90.00° and γ = 90.00°. Symmetry generates all atoms from Rb at (0.000, 0.000, 0.500), Y at (0.500, 0.500, 0.500) and Te at (0.000, 0.000, 0.000).